10
Lattice="-0.983 3.562 4.543 -5.041 -0.345 2.959 0.073 -2.371 5.650" Properties=species:S:1:pos:R:3 comment="Na2VSnF6 (PBE with a Hubbard U, relaxed)" magnetic_moment_mub_per_cell=3.00 e_tot_ev_per_atom=-5.0916 pbc="T T T"
Na -3.161 0.729 6.296
Na -0.074 -2.128 5.429
V -1.925 0.935 2.625
Sn -4.847 1.267 9.283
F -1.622 1.423 4.704
F -4.990 -0.176 5.193
F -3.871 2.596 7.480
F -3.823 -0.614 8.258
F -1.272 0.579 7.881
F -2.130 -1.509 6.159